[1]
VASP calculation (SCAN) on a crystal of Li2Cr3CuO8 relaxed with PBEsol.

Crystal system ... trigonal
ΔE_f (raw) ... -2.06 eV/atom
Symmetry ... No. 166

Lattice parameters (Å, degrees): 5.818 5.818 5.818 59.06 59.06 59.06
Sites, in units of the cell vectors:
Li 0.124 0.124 0.124
Li 0.876 0.876 0.876
Cr 0.000 0.500 0.500
Cr 0.500 0.000 0.500
Cr 0.500 0.500 0.000
Cu 0.500 0.500 0.500
O 0.254 0.254 0.711
O 0.254 0.711 0.254
O 0.262 0.262 0.262
O 0.289 0.746 0.746
O 0.711 0.254 0.254
O 0.738 0.738 0.738
O 0.746 0.289 0.746
O 0.746 0.746 0.289

[2]
VASP calculation (SCAN) on a crystal of Rb2FeSbTe relaxed with PBEsol.

Crystal system ... tetragonal
ΔE_f (raw) ... 0.12 eV/atom
Symmetry ... No. 123

Lattice parameters (Å, degrees): 6.562 6.562 4.718 90.00 90.00 90.00
Sites, in units of the cell vectors:
Rb 0.000 0.500 0.000
Rb 0.500 0.000 0.000
Fe 0.000 0.000 0.000
Sb 0.500 0.500 0.500
Te 0.000 0.000 0.500

[3]
VASP calculation (SCAN) on a crystal of BeTe2C relaxed with PBEsol.

Crystal system ... cubic
ΔE_f (raw) ... 1.67 eV/atom
Symmetry ... No. 225

Lattice parameters (Å, degrees): 4.553 4.553 4.553 60.00 60.00 60.00
Sites, in units of the cell vectors:
Be 0.000 0.000 0.000
Te 0.250 0.250 0.250
Te 0.750 0.750 0.750
C 0.500 0.500 0.500

[4]
VASP calculation (SCAN) on a crystal of ScCdRh2 relaxed with PBEsol.

Crystal system ... trigonal
Symmetry ... No. 160
DFT formation energy ... -0.05 eV per atom

Lattice parameters (Å, degrees): 9.056 9.056 9.056 18.71 18.71 18.71
Sites, in units of the cell vectors:
Sc 0.000 0.000 0.000
Cd 0.764 0.764 0.764
Rh 0.261 0.261 0.261
Rh 0.514 0.514 0.514

[5]
VASP calculation (SCAN) on a crystal of Cu2SiSe3 relaxed with PBEsol.

Crystal system ... monoclinic
ΔE_f (raw) ... -0.32 eV/atom
Symmetry ... No. 9

Lattice parameters (Å, degrees): 6.695 6.695 6.653 99.17 99.17 120.60
Sites, in units of the cell vectors:
Cu 0.086 0.914 0.500
Cu 0.265 0.753 0.003
Cu 0.753 0.265 0.503
Cu 0.914 0.086 0.000
Si 0.441 0.611 0.524
Si 0.611 0.441 0.024
Se 0.142 0.631 0.628
Se 0.305 0.465 0.142
Se 0.465 0.305 0.642
Se 0.631 0.142 0.128
Se 0.802 0.973 0.624
Se 0.973 0.802 0.124

[6]
VASP calculation (SCAN) on a crystal of AlCdNi2 relaxed with PBEsol.

Crystal system ... cubic
Symmetry ... No. 216
DFT formation energy ... -0.05 eV per atom

Lattice parameters (Å, degrees): 4.220 4.220 4.220 60.00 60.00 60.00
Sites, in units of the cell vectors:
Al 0.000 0.000 0.000
Cd 0.750 0.750 0.750
Ni 0.250 0.250 0.250
Ni 0.500 0.500 0.500

[7]
VASP calculation (SCAN) on a crystal of ZnBTe2N relaxed with PBEsol.

Crystal system ... tetragonal
ΔE_f (raw) ... 1.57 eV/atom
Symmetry ... No. 123

Lattice parameters (Å, degrees): 5.378 5.378 3.503 90.00 90.00 90.00
Sites, in units of the cell vectors:
Zn 0.000 0.000 0.000
B 0.500 0.500 0.500
Te 0.000 0.500 0.000
Te 0.500 0.000 0.000
N 0.000 0.000 0.500

[8]
VASP calculation (SCAN) on a crystal of CoSnN relaxed with PBEsol.

Crystal system ... hexagonal
ΔE_f (raw) ... 0.39 eV/atom
Symmetry ... No. 186

Lattice parameters (Å, degrees): 2.995 2.995 11.258 90.00 90.00 120.00
Sites, in units of the cell vectors:
Co 0.333 0.667 0.000
Co 0.667 0.333 0.500
Sn 0.000 0.000 0.294
Sn 0.000 0.000 0.794
N 0.333 0.667 0.546
N 0.667 0.333 0.046

[9]
VASP calculation (SCAN) on a crystal of PmYAl2 relaxed with PBEsol.

Crystal system ... cubic
Symmetry ... No. 225
DFT formation energy ... -0.42 eV per atom

Lattice parameters (Å, degrees): 5.097 5.097 5.097 60.00 60.00 60.00
Sites, in units of the cell vectors:
Pm 0.000 0.000 0.000
Y 0.500 0.500 0.500
Al 0.250 0.250 0.250
Al 0.750 0.750 0.750

[10]
VASP calculation (SCAN) on a crystal of Gd2MnNiO6 relaxed with PBEsol.

Crystal system ... monoclinic
ΔE_f (raw) ... -2.87 eV/atom
Symmetry ... No. 14

Lattice parameters (Å, degrees): 5.221 5.519 9.088 90.00 124.68 90.00
Sites, in units of the cell vectors:
Gd 0.232 0.069 0.249
Gd 0.232 0.431 0.749
Gd 0.768 0.569 0.251
Gd 0.768 0.931 0.751
Mn 0.500 0.000 0.000
Mn 0.500 0.500 0.500
Ni 0.000 0.000 0.500
Ni 0.000 0.500 0.000
O 0.156 0.193 0.953
O 0.156 0.307 0.453
O 0.261 0.709 0.950
O 0.261 0.791 0.450
O 0.349 0.025 0.755
O 0.349 0.475 0.255
O 0.651 0.525 0.745
O 0.651 0.975 0.245
O 0.739 0.209 0.550
O 0.739 0.291 0.050
O 0.844 0.693 0.547
O 0.844 0.807 0.047

[11]
VASP calculation (SCAN) on a crystal of LuHfIr2 relaxed with PBEsol.

Crystal system ... cubic
Symmetry ... No. 225
DFT formation energy ... -1.13 eV per atom

Lattice parameters (Å, degrees): 4.623 4.623 4.623 60.00 60.00 60.00
Sites, in units of the cell vectors:
Lu 0.000 0.000 0.000
Hf 0.500 0.500 0.500
Ir 0.250 0.250 0.250
Ir 0.750 0.750 0.750

[12]
VASP calculation (SCAN) on a crystal of MgBeW2 relaxed with PBEsol.

Crystal system ... tetragonal
Symmetry ... No. 99
DFT formation energy ... 0.38 eV per atom

Lattice parameters (Å, degrees): 3.184 3.184 6.091 90.00 90.00 90.00
Sites, in units of the cell vectors:
Mg 0.000 0.000 0.000
Be 0.500 0.500 0.736
W 0.000 0.000 0.521
W 0.500 0.500 0.312